# HgWIO2

A relaxed HgWIO2 crystal (GGA+U, the Alexandria database).

abc: 4.2673 4.2673 6.6221
angles: 90.00 90.00 90.00
Last column: nearest neighbours and their distance in Å.
Fractional positions:
Hg: 0.0000 0.0000 0.0000  4 O 2.13
W: 0.5000 0.5000 0.5000  4 I 3.02
I: 0.0000 0.0000 0.5000  4 W 3.02, 2 Hg 3.31
O: 0.0000 0.5000 0.0000  2 Hg 2.13
O: 0.5000 0.0000 0.0000  2 Hg 2.13

N(E_F)	2.36	states/eV/cell
energy	-15.0	eV/cell
total moment	0.730	μB per atom
polymorph energy (0 for the lowest one)	1.518	eV/atom